Record 1
CoNiOs3 | PBE-GGA | optimized geometry

a b c (Å): 4.351 4.351 4.351
angles (deg): 90.00 90.00 90.00
Element x y z (fractional)
Os (0.000, 0.000, 0.500)
Os (0.000, 0.500, 0.000)
Os (0.500, 0.000, 0.000)
Co (0.500, 0.500, 0.500)
Ni (0.000, 0.000, 0.000)

## Properties
final energy	-35.682	eV for the cell shown
E_form	2.1789	eV/atom
E above lowest polymorph	152.8	meV/atom



Record 2
CoNiOs2 | PBE-GGA | optimized geometry

a b c (Å): 4.531 4.531 4.531
angles (deg): 131.85 131.85 70.46
Element x y z (fractional)
Os (0.500, 0.500, 0.000)
Os (0.000, 0.000, 0.000)
Co (0.250, 0.750, 0.500)
Ni (0.750, 0.250, 0.500)

## Properties
final energy	-34.473	eV for the cell shown
E_form	0.2183	eV/atom
E above lowest polymorph	92.3	meV/atom



Record 3
CoNiOs | PBE-GGA | optimized geometry

a b c (Å): 2.624 2.624 6.215
angles (deg): 90.00 90.00 120.00
Element x y z (fractional)
Co (0.000, 0.000, 0.003)
Os (0.333, 0.667, 0.670)
Ni (0.667, 0.333, 0.327)

## Properties
final energy	-23.599	eV for the cell shown
E_form	0.1726	eV/atom
E above lowest polymorph	70.7	meV/atom



Record 4
CoNiOs2 | PBE-GGA | optimized geometry

a b c (Å): 4.196 4.196 4.195
angles (deg): 59.99 59.99 60.00
Element x y z (fractional)
Os (0.250, 0.250, 0.249)
Os (0.000, 0.000, 0.000)
Ni (0.750, 0.750, 0.750)
Co (0.500, 0.500, 0.500)

## Properties
final energy	-33.807	eV for the cell shown
E_form	0.3850	eV/atom
E above lowest polymorph	259.0	meV/atom



Record 5
CoNiOs3 | PBE-GGA | optimized geometry

a b c (Å): 4.359 4.359 4.359
angles (deg): 90.00 90.00 90.00
Element x y z (fractional)
Os (0.500, 0.000, 0.000)
Os (0.000, 0.500, 0.000)
Os (0.000, 0.000, 0.500)
Co (0.000, 0.000, 0.000)
Ni (0.500, 0.500, 0.500)

## Properties
final energy	-36.446	eV for the cell shown
E_form	2.0261	eV/atom
E above lowest polymorph	0.0	meV/atom



Record 6
CoNiOs2 | PBE-GGA | optimized geometry

a b c (Å): 2.629 3.685 5.211
angles (deg): 90.00 90.00 90.00
Element x y z (fractional)
Os (0.000, 0.000, 0.001)
Os (0.000, 0.000, 0.499)
Co (0.500, 0.500, 0.250)
Ni (0.500, 0.500, 0.750)

## Properties
final energy	-34.544	eV for the cell shown
E_form	0.2007	eV/atom
E above lowest polymorph	74.7	meV/atom



Record 7
CoNiOs | PBE-GGA | optimized geometry

a b c (Å): 4.026 4.026 2.531
angles (deg): 90.00 90.00 120.00
Element x y z (fractional)
Ni (0.333, 0.667, 0.166)
Co (0.000, 0.000, 0.167)
Os (0.667, 0.333, 0.667)

## Properties
final energy	-23.685	eV for the cell shown
E_form	0.1441	eV/atom
E above lowest polymorph	42.2	meV/atom



Record 8
CoNiOs2 | PBE-GGA | optimized geometry

a b c (Å): 5.220 5.220 6.393
angles (deg): 65.91 65.91 90.00
Element x y z (fractional)
Ni (0.000, 0.000, 0.000)
Ni (0.750, 0.250, 0.500)
Os (0.618, 0.125, 0.250)
Os (0.132, 0.625, 0.250)
Os (0.375, 0.382, 0.750)
Os (0.875, 0.868, 0.750)
Co (0.250, 0.750, 0.500)
Co (0.500, 0.500, 0.000)

## Properties
final energy	-59.007	eV for the cell shown
E_form	1.4608	eV/atom
E above lowest polymorph	1334.7	meV/atom



Record 9
CoNiOs2 | PBE-GGA | optimized geometry

a b c (Å): 2.622 2.622 7.341
angles (deg): 90.00 90.00 90.00
Element x y z (fractional)
Os (0.000, 0.000, 0.497)
Os (0.000, 0.000, 0.003)
Co (0.500, 0.500, 0.250)
Ni (0.500, 0.500, 0.750)

## Properties
final energy	-34.495	eV for the cell shown
E_form	0.2128	eV/atom
E above lowest polymorph	86.7	meV/atom



Record 10
CoNiOs | PBE-GGA | optimized geometry

a b c (Å): 3.858 3.858 3.858
angles (deg): 60.00 60.00 60.00
Element x y z (fractional)
Co (0.750, 0.750, 0.750)
Os (0.500, 0.500, 0.500)
Ni (0.000, 0.000, 0.000)

## Properties
final energy	-22.412	eV for the cell shown
E_form	0.5683	eV/atom
E above lowest polymorph	466.5	meV/atom



Record 11
CoNiOs | PBE-GGA | optimized geometry

a b c (Å): 6.695 6.485 2.569
angles (deg): 83.40 74.20 22.41
Element x y z (fractional)
Co (0.996, 0.996, 0.004)
Os (0.666, 0.666, 0.334)
Ni (0.337, 0.337, 0.663)

## Properties
final energy	-22.988	eV for the cell shown
E_form	0.3764	eV/atom
E above lowest polymorph	274.6	meV/atom



Record 12
CoNiOs2 | PBE-GGA | optimized geometry

a b c (Å): 4.560 4.560 4.463
angles (deg): 80.35 80.35 33.71
Element x y z (fractional)
Os (0.000, 0.000, 0.997)
Os (0.752, 0.752, 0.751)
Ni (0.249, 0.249, 0.260)
Co (0.498, 0.498, 0.492)

## Properties
final energy	-34.798	eV for the cell shown
E_form	0.1372	eV/atom
E above lowest polymorph	11.1	meV/atom



Q: Number 6 is which compound?
A: CoNiOs2



Q: Which formula does entry 11 have?
A: CoNiOs



Q: Look up the E above lowest polymorph of the third one.
A: 70.7 meV/atom



Q: The lowest E_form belongs to which entry?
A: number 12